(1)
This record from the Alexandria database describes a relaxed BeNiRu3 crystal. The functional is GGA-PBE.

```
BeNiRu3
1.0
-0.773 -1.935 3.900
-1.809 -3.460 -2.075
3.959 -1.959 -0.187
Ru Be Ni
3 1 1
direct
0.000 0.500 0.000
0.000 0.000 0.500
0.500 0.000 0.000
0.500 0.500 0.500
0.000 0.000 0.000
```

Results
* energy above the lowest structure with this stoichiometry: 1002 meV/atom

(2)
This record from the Alexandria database describes a relaxed BeNi2Ru2 crystal. The functional is GGA-PBE.

```
BeNi2Ru2
1.0
5.842 0.000 0.000
0.000 5.842 0.000
0.000 0.000 3.743
Ru Be Ni
4 2 4
direct
0.353 0.853 0.000
0.853 0.647 0.000
0.647 0.147 0.000
0.147 0.353 0.000
0.000 0.000 0.000
0.500 0.500 0.000
0.154 0.654 0.500
0.654 0.846 0.500
0.846 0.346 0.500
0.346 0.154 0.500
```

(3)
This record from the Alexandria database describes a relaxed BeNiRu4 crystal. The functional is GGA-PBE.

```
BeNiRu4
1.0
-2.388 -2.549 3.574
-4.125 -2.594 -1.112
0.113 -4.997 0.006
Be Ni Ru
1 1 4
direct
0.750 0.750 0.750
0.000 0.000 0.000
0.375 0.875 0.375
0.875 0.375 0.375
0.375 0.375 0.875
0.375 0.375 0.375
```

(4)
This record from the Alexandria database describes a relaxed BeNiRu3 crystal. The functional is GGA-PBE.

```
BeNiRu3
1.0
4.042 0.000 0.000
0.000 4.042 0.000
0.000 0.000 4.042
Ru Be Ni
3 1 1
direct
0.000 0.500 0.000
0.000 0.000 0.500
0.500 0.000 0.000
0.000 0.000 0.000
0.500 0.500 0.500
```

Results
* energy above the lowest structure with this stoichiometry: 0 meV/atom

no.,energy of formation from the pure elements (eV per atom),VASP energy (eV/atom)
1,1.6968,-5.77
2,0.3308,-6.44
3,0.7754,-6.99
4,0.6947,-6.77